Record 1
Density functional theory data (PBE) for a relaxed NaCeSn2Cl8 crystal.

Output
Formation energy (no corrections): -1528 meV/atom
VASP energy: -4.030 eV/atom

Lattice parameters (Å, degrees): 6.769 6.551 8.644 90.55 90.48 88.92
Each line ends with the local moment (μB).
Atoms (fractional coordinates):
Sn: 0.496 0.500 0.261  0.00
Sn: 0.504 0.500 0.739  0.00
Cl: 0.154 0.769 0.243  -0.01
Cl: 0.671 0.713 0.521  0.00
Cl: 0.846 0.231 0.757  -0.01
Cl: 0.814 0.202 0.244  -0.01
Cl: 0.684 0.737 0.977  0.00
Cl: 0.316 0.263 0.023  0.00
Cl: 0.186 0.798 0.756  -0.01
Cl: 0.329 0.287 0.479  0.00
Na: 0.000 0.000 0.500  0.00
Ce: 0.000 0.000 0.000  0.98

Record 2
Density functional theory data (PBE) for a relaxed NaCeSnCl6 crystal.

Output
Formation energy (no corrections): -1700 meV/atom
VASP energy: -4.182 eV/atom

Lattice parameters (Å, degrees): 7.113 7.113 12.463 90.00 90.00 120.00
Each line ends with the local moment (μB).
Atoms (fractional coordinates):
Cl: 0.658 0.993 0.873  -0.01
Cl: 0.993 0.335 0.127  -0.01
Cl: 0.007 0.342 0.627  -0.01
Cl: 0.665 0.007 0.373  -0.01
Cl: 0.658 0.665 0.627  -0.01
Cl: 0.335 0.342 0.873  -0.01
Cl: 0.342 0.007 0.127  -0.01
Cl: 0.335 0.993 0.627  -0.01
Cl: 0.342 0.335 0.373  -0.01
Cl: 0.665 0.658 0.127  -0.01
Cl: 0.993 0.658 0.373  -0.01
Cl: 0.007 0.665 0.873  -0.01
Ce: 0.667 0.333 0.250  0.98
Ce: 0.333 0.667 0.750  0.98
Na: 0.333 0.667 0.250  0.00
Na: 0.667 0.333 0.750  0.00
Sn: 0.000 0.000 0.000  0.00
Sn: 0.000 0.000 0.500  0.00

Record 3
Density functional theory data (PBE) for a relaxed Na2CeTiCl8 crystal.

Output
Formation energy (no corrections): -1847 meV/atom
VASP energy: -4.451 eV/atom

Lattice parameters (Å, degrees): 6.550 6.371 7.961 90.02 89.99 93.06
Each line ends with the local moment (μB).
Atoms (fractional coordinates):
Cl: 0.291 0.241 0.000  -0.01
Cl: 0.329 0.271 0.500  -0.01
Cl: 0.159 0.790 0.225  -0.01
Cl: 0.671 0.729 0.500  -0.01
Cl: 0.841 0.210 0.775  -0.01
Cl: 0.841 0.210 0.225  -0.01
Cl: 0.159 0.790 0.775  -0.01
Cl: 0.709 0.759 0.000  -0.01
Na: 0.500 0.500 0.238  0.00
Na: 0.500 0.500 0.762  0.00
Ti: 0.000 0.000 0.000  0.96
Ce: 0.000 0.000 0.500  0.91

Record 4
Density functional theory data (PBE) for a relaxed Na2CeTlCl6 crystal.

Output
Formation energy (no corrections): -1811 meV/atom
VASP energy: -4.013 eV/atom

Lattice parameters (Å, degrees): 7.327 7.327 7.849 62.18 62.18 60.01
Each line ends with the local moment (μB).
Atoms (fractional coordinates):
Ce: 0.321 0.321 0.036  0.98
Cl: 0.360 0.722 0.758  0.00
Cl: 0.926 0.595 0.234  0.00
Cl: 0.595 0.245 0.234  0.00
Cl: 0.160 0.360 0.758  0.00
Cl: 0.722 0.160 0.758  0.00
Cl: 0.245 0.926 0.234  0.00
Tl: 0.804 0.804 0.588  0.00
Na: 0.008 0.008 0.976  0.00
Na: 0.520 0.520 0.441  0.00

Record 5
Density functional theory data (PBE) for a relaxed NaCeTl2Cl8 crystal.

Output
Formation energy (no corrections): -1431 meV/atom
VASP energy: -3.661 eV/atom

Lattice parameters (Å, degrees): 6.806 6.596 8.886 90.01 90.00 91.86
Atoms (fractional coordinates):
Cl: 0.680 0.761 0.000
Cl: 0.320 0.280 0.500
Cl: 0.853 0.216 0.777
Cl: 0.320 0.239 0.000
Cl: 0.147 0.784 0.223
Cl: 0.680 0.720 0.500
Cl: 0.147 0.784 0.777
Cl: 0.853 0.216 0.223
Tl: 0.500 0.500 0.741
Tl: 0.500 0.500 0.259
Na: 0.000 0.000 0.500
Ce: 0.000 0.000 0.000

Record 6
Density functional theory data (PBE) for a relaxed NaCe2TlCl8 crystal.

Output
Formation energy (no corrections): -1924 meV/atom
VASP energy: -4.451 eV/atom

Lattice parameters (Å, degrees): 6.933 6.747 8.752 90.01 90.01 86.37
Each line ends with the local moment (μB).
Atoms (fractional coordinates):
Cl: 0.813 0.240 0.774  -0.01
Cl: 0.341 0.292 0.000  -0.01
Cl: 0.659 0.708 0.000  -0.01
Cl: 0.643 0.703 0.500  -0.01
Cl: 0.357 0.297 0.500  -0.01
Cl: 0.187 0.760 0.774  -0.01
Cl: 0.187 0.760 0.226  -0.01
Cl: 0.813 0.240 0.226  -0.01
Ce: 0.500 0.500 0.244  0.98
Ce: 0.500 0.500 0.756  0.98
Na: 0.000 0.000 0.000  0.00
Tl: 0.000 0.000 0.500  0.00

Record 7
Density functional theory data (PBE) for a relaxed Na2CeTlCl8 crystal.

Output
Formation energy (no corrections): -1577 meV/atom
VASP energy: -3.720 eV/atom

Lattice parameters (Å, degrees): 6.481 6.374 8.873 90.01 89.99 94.56
Each line ends with the local moment (μB).
Atoms (fractional coordinates):
Cl: 0.684 0.696 0.500  0.00
Cl: 0.174 0.796 0.221  0.00
Cl: 0.683 0.718 0.000  0.00
Cl: 0.317 0.282 0.000  0.00
Cl: 0.316 0.304 0.500  0.00
Cl: 0.826 0.204 0.221  0.00
Cl: 0.174 0.796 0.779  0.00
Cl: 0.826 0.204 0.779  0.00
Na: 0.500 0.500 0.751  0.00
Na: 0.500 0.500 0.249  0.00
Tl: 0.000 0.000 0.500  0.00
Ce: 0.000 0.000 0.000  0.11

Record 8
Density functional theory data (PBE) for a relaxed Na2CeTmCl8 crystal.

Output
Formation energy (no corrections): -2087 meV/atom
VASP energy: -4.405 eV/atom

Lattice parameters (Å, degrees): 6.622 6.480 8.350 90.01 90.00 93.56
Each line ends with the local moment (μB).
Atoms (fractional coordinates):
Cl: 0.168 0.798 0.236  0.00
Cl: 0.168 0.798 0.764  0.00
Cl: 0.683 0.716 0.500  -0.01
Cl: 0.832 0.202 0.236  0.00
Cl: 0.302 0.270 0.000  0.00
Cl: 0.317 0.284 0.500  -0.01
Cl: 0.832 0.202 0.764  0.00
Cl: 0.698 0.730 0.000  0.00
Tm: 0.000 0.000 0.000  0.00
Ce: 0.000 0.000 0.500  0.98
Na: 0.500 0.500 0.242  0.00
Na: 0.500 0.500 0.758  0.00

Record 9
Density functional theory data (PBE) for a relaxed Na2CeVCl8 crystal.

Output
Formation energy (no corrections): -1729 meV/atom
VASP energy: -4.434 eV/atom

Lattice parameters (Å, degrees): 6.554 6.333 7.890 90.00 90.00 93.64
Each line ends with the local moment (μB).
Atoms (fractional coordinates):
Cl: 0.708 0.758 0.000  -0.01
Cl: 0.155 0.792 0.775  -0.02
Cl: 0.845 0.208 0.225  -0.02
Cl: 0.155 0.792 0.225  -0.02
Cl: 0.672 0.729 0.500  -0.01
Cl: 0.845 0.208 0.775  -0.02
Cl: 0.292 0.242 0.000  -0.01
Cl: 0.328 0.271 0.500  -0.01
V: 0.000 0.000 0.000  2.07
Na: 0.500 0.500 0.233  0.00
Na: 0.500 0.500 0.767  0.00
Ce: 0.000 0.000 0.500  0.75

Record 10
Density functional theory data (PBE) for a relaxed Na2CeYCl8 crystal.

Output
Formation energy (no corrections): -2087 meV/atom
VASP energy: -4.571 eV/atom

Lattice parameters (Å, degrees): 6.621 6.500 8.424 90.00 90.00 93.33
Each line ends with the local moment (μB).
Atoms (fractional coordinates):
Ce: 0.000 0.000 0.500  0.98
Cl: 0.689 0.712 0.500  -0.01
Cl: 0.699 0.722 0.000  0.00
Cl: 0.174 0.800 0.240  0.00
Cl: 0.826 0.200 0.240  0.00
Cl: 0.826 0.200 0.760  0.00
Cl: 0.311 0.288 0.500  -0.01
Cl: 0.301 0.278 0.000  0.00
Cl: 0.174 0.800 0.760  0.00
Na: 0.500 0.500 0.756  0.00
Na: 0.500 0.500 0.244  0.00
Y: 0.000 0.000 0.000  0.00

Record 11
Density functional theory data (PBE) for a relaxed CeNbClO4 crystal.

Output
Formation energy (no corrections): -2699 meV/atom
VASP energy: -8.082 eV/atom

Lattice parameters (Å, degrees): 6.465 6.465 7.059 74.68 74.68 69.13
Atoms (fractional coordinates):
Nb: 0.365 0.365 0.263
Nb: 0.635 0.635 0.737
Cl: 0.991 0.991 0.773
Cl: 0.009 0.009 0.227
O: 0.490 0.098 0.158
O: 0.510 0.902 0.842
O: 0.449 0.449 0.820
O: 0.299 0.299 0.541
O: 0.701 0.701 0.459
O: 0.098 0.490 0.158
O: 0.551 0.551 0.180
O: 0.902 0.510 0.842
Ce: 0.767 0.767 0.128
Ce: 0.233 0.233 0.872

Record 12
Density functional theory data (PBE) for a relaxed CeNd2Cl crystal.

Output
Formation energy (no corrections): -640 meV/atom
VASP energy: -4.969 eV/atom

Lattice parameters (Å, degrees): 3.680 3.680 10.359 79.77 79.77 60.00
Each line ends with the local moment (μB).
Atoms (fractional coordinates):
Cl: 0.000 0.000 0.000  0.00
Nd: 0.740 0.740 0.779  0.01
Nd: 0.260 0.260 0.221  0.01
Ce: 0.500 0.500 0.500  0.69

Record 13
Density functional theory data (PBE) for a relaxed CeNdCl6 crystal.

Output
Formation energy (no corrections): -2202 meV/atom
Energy relative to the lowest polymorph listed for this composition: 3.8 meV/atom
VASP energy: -4.924 eV/atom

Lattice parameters (Å, degrees): 7.012 7.012 6.948 97.40 97.40 120.60
Each line ends with the local moment (μB).
Atoms (fractional coordinates):
Cl: 0.248 0.248 0.746  0.00
Cl: 0.894 0.599 0.750  -0.01
Cl: 0.401 0.106 0.250  -0.01
Cl: 0.752 0.752 0.254  0.00
Cl: 0.599 0.894 0.750  -0.01
Cl: 0.106 0.401 0.250  -0.01
Ce: 0.000 0.000 0.000  0.98
Nd: 0.500 0.500 0.500  0.00

Record 14
Density functional theory data (PBE) for a relaxed CeNdCl6 crystal.

Output
Formation energy (no corrections): -2205 meV/atom
Energy relative to the lowest polymorph listed for this composition: 0.0 meV/atom
VASP energy: -4.928 eV/atom

Lattice parameters (Å, degrees): 6.958 6.957 7.559 62.58 62.58 60.00
Each line ends with the local moment (μB).
Atoms (fractional coordinates):
Cl: 0.397 0.751 0.751  0.00
Cl: 0.751 0.101 0.751  0.00
Cl: 0.899 0.603 0.249  0.00
Cl: 0.101 0.397 0.751  0.00
Cl: 0.603 0.249 0.249  0.00
Cl: 0.249 0.899 0.249  0.00
Ce: 0.500 0.500 0.500  0.98
Nd: 0.000 0.000 0.000  0.00

Record 15
Density functional theory data (PBE) for a relaxed CeNd2Cl8 crystal.

Output
Formation energy (no corrections): -2095 meV/atom
VASP energy: -4.844 eV/atom

Lattice parameters (Å, degrees): 5.438 7.596 7.596 111.30 98.83 98.83
Each line ends with the local moment (μB).
Atoms (fractional coordinates):
Nd: 0.000 0.682 0.318  0.13
Nd: 0.000 0.318 0.682  0.13
Cl: 0.082 0.322 0.064  -0.01
Cl: 0.500 0.765 0.235  -0.01
Cl: 0.918 0.936 0.678  -0.01
Cl: 0.082 0.064 0.322  -0.01
Cl: 0.500 0.235 0.765  -0.01
Cl: 0.918 0.678 0.936  -0.01
Cl: 0.682 0.367 0.367  0.00
Cl: 0.318 0.633 0.633  0.00
Ce: 0.500 0.000 0.000  1.45

Record 16
Density functional theory data (PBE) for a relaxed Ce2NdClO4 crystal.

Output
Formation energy (no corrections): -3150 meV/atom
VASP energy: -7.939 eV/atom

Lattice parameters (Å, degrees): 4.023 4.023 9.041 90.00 90.00 90.00
Each line ends with the local moment (μB).
Atoms (fractional coordinates):
Nd: 0.000 0.000 0.000  0.02
Cl: 0.000 0.000 0.500  -0.01
O: 0.000 0.500 0.838  -0.02
O: 0.000 0.500 0.162  -0.02
O: 0.500 0.000 0.838  -0.02
O: 0.500 0.000 0.162  -0.02
Ce: 0.500 0.500 0.275  0.87
Ce: 0.500 0.500 0.725  0.87

Record 17
Density functional theory data (PBE) for a relaxed CeNdOsCl crystal.

Output
Formation energy (no corrections): -814 meV/atom
VASP energy: -6.759 eV/atom

Lattice parameters (Å, degrees): 4.022 4.021 8.014 90.01 104.52 120.00
Each line ends with the local moment (μB).
Atoms (fractional coordinates):
Cl: 0.964 0.381 0.360  0.00
Nd: 0.498 0.147 0.660  0.00
Os: 0.315 0.555 0.886  -0.04
Ce: 0.101 0.948 0.064  0.26

Record 18
Density functional theory data (PBE) for a relaxed CeNdTe2Cl crystal.

Output
Formation energy (no corrections): -1616 meV/atom
VASP energy: -5.383 eV/atom

Lattice parameters (Å, degrees): 4.451 4.451 15.212 90.00 90.00 90.00
Each line ends with the local moment (μB).
Atoms (fractional coordinates):
Nd: 0.500 0.000 0.089  -0.01
Nd: 0.000 0.500 0.911  -0.01
Te: 0.500 0.000 0.300  -0.02
Te: 0.000 0.500 0.700  -0.02
Te: 0.000 0.500 0.124  0.00
Te: 0.500 0.000 0.876  0.00
Ce: 0.500 0.000 0.632  1.10
Ce: 0.000 0.500 0.368  1.10
Cl: 0.500 0.500 0.500  -0.01
Cl: 0.000 0.000 0.500  -0.01

Record 19
Density functional theory data (PBE) for a relaxed Ce2NiCl crystal.

Output
Formation energy (no corrections): -781 meV/atom
Energy relative to the lowest polymorph listed for this composition: 21.9 meV/atom
VASP energy: -5.655 eV/atom

Lattice parameters (Å, degrees): 3.887 3.887 7.896 75.75 75.75 60.00
Each line ends with the local moment (μB).
Atoms (fractional coordinates):
Ce: 0.070 0.070 0.790  0.83
Ce: 0.263 0.263 0.211  0.84
Ni: 0.667 0.667 0.998  -0.06
Cl: 0.500 0.500 0.501  -0.01

Record 20
Density functional theory data (PBE) for a relaxed Ce2NiCl crystal.

Output
Formation energy (no corrections): -803 meV/atom
Energy relative to the lowest polymorph listed for this composition: 0.0 meV/atom
VASP energy: -5.677 eV/atom

Lattice parameters (Å, degrees): 4.008 4.008 7.437 74.37 74.37 60.00
Each line ends with the local moment (μB).
Atoms (fractional coordinates):
Ce: 0.262 0.262 0.215  0.84
Ce: 0.738 0.738 0.785  0.84
Cl: 0.500 0.500 0.500  -0.01
Ni: 0.000 0.000 0.000  -0.06

Record 21
Density functional theory data (PBE) for a relaxed Ce4NiCl5 crystal.

Output
Formation energy (no corrections): -1482 meV/atom
VASP energy: -5.357 eV/atom

Lattice parameters (Å, degrees): 3.934 7.474 9.380 100.93 102.10 90.00
Each line ends with the local moment (μB).
Atoms (fractional coordinates):
Ce: 0.630 0.304 0.259  1.18
Ce: 0.370 0.696 0.741  1.18
Ce: 0.058 0.828 0.116  0.90
Ce: 0.942 0.172 0.884  0.90
Cl: 0.500 0.500 0.000  -0.01
Cl: 0.811 0.903 0.622  -0.01
Cl: 0.177 0.591 0.354  -0.01
Cl: 0.823 0.409 0.646  -0.01
Cl: 0.189 0.097 0.378  -0.01
Ni: 0.500 0.000 0.000  -0.06

Record 22
Density functional theory data (PBE) for a relaxed Ce6NiOs2Cl3 crystal.

Output
Formation energy (no corrections): -856 meV/atom
VASP energy: -6.638 eV/atom

Lattice parameters (Å, degrees): 6.948 6.948 7.736 98.61 98.61 120.00
Each line ends with the local moment (μB).
Atoms (fractional coordinates):
Cl: 0.832 0.168 0.500  -0.01
Cl: 0.168 0.832 0.500  -0.01
Cl: 0.500 0.500 0.500  -0.01
Ce: 0.069 0.404 0.207  0.69
Ce: 0.931 0.596 0.793  0.69
Ce: 0.404 0.069 0.207  0.69
Ce: 0.596 0.931 0.793  0.69
Ce: 0.266 0.266 0.792  0.69
Ce: 0.734 0.734 0.208  0.69
Os: 0.333 0.667 0.000  -0.11
Os: 0.667 0.333 0.000  -0.11
Ni: 0.000 0.000 0.000  -0.10